[1]
LiRePt: optimized geometry, GGA-PBE.

abc: 3.652 3.652 6.660
angles: 90.00 90.00 90.00
Space group P4/nmm (No. 129, origin choice 2)
Asymmetric unit:
Li1 0.250 0.250 0.180
Re1 0.250 0.750 0.500
Pt1 0.250 0.250 0.810

## Properties
As for the density of states at the Fermi level: 0.550 states/eV/atom. For the energy of formation, the calculation gives 0.067 eV/atom. The value obtained for the final energy is -6.734 eV per atom.

=====

[2]
ErTm3Sc: optimized geometry, GGA-PBE.

abc: 8.275 6.164 11.924
angles: 90.00 104.40 90.00
Space group P2_1/c (No. 14)
Asymmetric unit:
Er1 0.187 0.063 0.102
Tm1 0.109 0.567 0.253
Tm2 0.196 0.565 0.985
Tm3 0.472 0.657 0.818
Sc1 0.429 0.179 0.919

## Properties
As for the density of states at the Fermi level: 1.357 states/eV/atom. For the energy of formation, the calculation gives 0.112 eV/atom. The value obtained for the final energy is -4.750 eV per atom.

=====

[3]
TlAgAs2: optimized geometry, GGA-PBE.

abc: 3.711 4.256 12.403
angles: 90.00 90.00 90.00
Space group Imm2 (No. 44)
Asymmetric unit:
Tl1 0.000 0.000 0.000
Ag1 0.000 0.500 0.214
As1 0.000 0.000 0.363
As2 0.000 0.500 0.716

## Properties
As for the density of states at the Fermi level: 0.530 states/eV/atom. For the energy of formation, the calculation gives 0.160 eV/atom. The value obtained for the final energy is -3.469 eV per atom.

=====

[4]
PrAgAu2: optimized geometry, GGA-PBE.

abc: 7.108 7.108 7.108
angles: 90.00 90.00 90.00
Space group Fm-3m (No. 225)
Asymmetric unit:
Pr1 0.000 0.000 0.000
Ag1 0.000 0.000 0.500
Au1 0.250 0.250 0.250

## Properties
As for the density of states at the Fermi level: 0.456 states/eV/atom. For the energy of formation, the calculation gives -0.550 eV/atom. The value obtained for the final energy is -4.097 eV per atom.

=====

[5]
SrTbZn4: optimized geometry, GGA-PBE.

abc: 4.250 4.250 15.531
angles: 90.00 90.00 90.00
Space group I-4m2 (No. 119)
Asymmetric unit:
Sr1 0.000 0.000 0.000
Tb1 0.000 0.500 0.250
Zn1 0.000 0.000 0.413
Zn2 0.000 0.500 0.671

## Properties
As for the density of states at the Fermi level: 0.848 states/eV/atom. For the energy of formation, the calculation gives -0.241 eV/atom. The value obtained for the final energy is -2.143 eV per atom.

=====

[6]
SrPaAu2: optimized geometry, GGA-PBE.

abc: 3.629 3.629 7.880
angles: 90.00 90.00 90.00
Space group P4/mmm (No. 123)
Asymmetric unit:
Sr1 0.000 0.000 0.000
Pa1 0.000 0.000 0.500
Au1 0.500 0.500 0.279

## Properties
As for the density of states at the Fermi level: 1.549 states/eV/atom. For the energy of formation, the calculation gives -0.417 eV/atom. The value obtained for the final energy is -4.850 eV per atom.

=====

[7]
NaSc2TiTc: optimized geometry, GGA-PBE.

abc: 5.149 5.149 4.758
angles: 90.00 90.00 90.00
Space group P4/mmm (No. 123)
Asymmetric unit:
Na1 0.000 0.000 0.000
Sc1 0.000 0.500 0.500
Ti1 0.500 0.500 0.000
Tc1 0.500 0.500 0.500

## Properties
As for the density of states at the Fermi level: 0.825 states/eV/atom. For the energy of formation, the calculation gives 0.289 eV/atom. The value obtained for the final energy is -6.160 eV per atom.

=====

[8]
Pm3Sm2Y: optimized geometry, GGA-PBE.

abc: 3.489 6.649 9.225
angles: 102.64 100.53 90.05
Space group P-1 (No. 2)
Asymmetric unit:
Pm1 0.000 0.000 0.000
Pm2 0.174 0.360 0.342
Sm1 0.339 0.149 0.676
Y1 0.000 0.500 0.000

## Properties
As for the density of states at the Fermi level: 1.877 states/eV/atom. For the energy of formation, the calculation gives 0.148 eV/atom. The value obtained for the final energy is -4.877 eV per atom.

=====

[9]
Ba3Li2H7: optimized geometry, GGA-PBE.

abc: 3.956 25.091 3.953
angles: 90.00 90.00 90.00
Space group Cmmm (No. 65)
Asymmetric unit:
Ba1 0.000 0.000 0.000
Ba2 0.000 0.159 0.000
Li1 0.000 0.420 0.500
H1 0.000 0.081 0.500
H2 0.000 0.343 0.500
H3 0.000 0.419 0.000
H4 0.000 0.500 0.500

## Properties
As for the density of states at the Fermi level: 0.171 states/eV/atom. The value obtained for the final energy is -3.214 eV per atom.

=====

[10]
Ti2NbCl6: optimized geometry, GGA-PBE.

abc: 13.469 11.078 5.520
angles: 90.00 101.08 90.00
Space group C2/c (No. 15)
Asymmetric unit:
Ti1 0.190 0.071 0.284
Nb1 0.000 0.431 0.250
Cl1 0.106 0.098 0.621
Cl2 0.119 0.265 0.143
Cl3 0.129 0.421 0.652

## Properties
As for the density of states at the Fermi level: 0.667 states/eV/atom. Its formation energy without anion corrections is -0.972 eV/atom. The value obtained for the final energy is -5.077 eV per atom.

=====

[11]
LaPr4Cu: optimized geometry, GGA-PBE.

abc: 3.688 3.688 14.204
angles: 90.00 90.00 90.00
Space group P4/mmm (No. 123)
Asymmetric unit:
La1 0.000 0.000 0.000
Pr1 0.000 0.000 0.378
Pr2 0.500 0.500 0.187
Cu1 0.500 0.500 0.500

## Properties
As for the density of states at the Fermi level: 1.578 states/eV/atom. For the energy of formation, the calculation gives -0.024 eV/atom. The value obtained for the final energy is -4.715 eV per atom.

=====

[12]
Zr2Ir4Rh: optimized geometry, GGA-PBE.

abc: 5.020 8.906 5.612
angles: 90.00 105.51 90.00
Space group P2_1/c (No. 14)
Asymmetric unit:
Zr1 0.140 0.021 0.288
Ir1 0.159 0.744 0.508
Ir2 0.384 0.220 0.636
Rh1 0.500 0.000 0.000

## Properties
As for the density of states at the Fermi level: 0.692 states/eV/atom. For the energy of formation, the calculation gives -0.434 eV/atom. The value obtained for the final energy is -8.990 eV per atom.

=====

[13]
Li5GeAu3: optimized geometry, GGA-PBE.

abc: 8.988 8.553 9.827
angles: 90.00 105.96 90.00
Space group C2/m (No. 12)
Asymmetric unit:
Li1 0.000 0.185 0.000
Li2 0.085 0.000 0.311
Li3 0.169 0.284 0.664
Li4 0.213 0.000 0.866
Ge1 0.071 0.500 0.269
Au1 0.000 0.500 0.000
Au2 0.000 0.500 0.500
Au3 0.149 0.000 0.584
Au4 0.247 0.000 0.134

## Properties
As for the density of states at the Fermi level: 0.190 states/eV/atom. For the energy of formation, the calculation gives -0.278 eV/atom. The value obtained for the final energy is -2.946 eV per atom.

=====

[14]
Tc2RhBr: optimized geometry, GGA-PBE.

abc: 2.8873 2.8873 26.1543
angles: 90.00 90.00 120.00
Space group R3m (No. 160, hexagonal axes)
Asymmetric unit:
Tc1 0.0000 0.0000 0.0000
Tc2 0.0000 0.0000 0.2530
Rh1 0.0000 0.0000 0.5054
Br1 0.0000 0.0000 0.7490

## Properties
As for the density of states at the Fermi level: 1.086 states/eV/atom. Its formation energy without anion corrections is 0.421 eV/atom. The value obtained for the final energy is -7.018 eV per atom.